DFT (SCAN) results for MgTe2Os at its PBEsol-relaxed geometry.

- N(E_F): 3.55 states/eV/f.u.
- Crystal system: trigonal
- Raw formation energy: 0.12 eV/atom

Cell and atoms, written as CIF:
```
data_MgTe2Os
_chemical_formula_sum 'Mg3 Te6 Os3'
_space_group_name_H-M_alt 'R -3 m'
_space_group_IT_number 166
_space_group_name_Hall '-R 3 2"'
_cell_length_a 3.9314
_cell_length_b 3.9314
_cell_length_c 25.0677
_cell_angle_alpha 90.00
_cell_angle_beta 90.00
_cell_angle_gamma 120.00
loop_
_atom_site_label
_atom_site_type_symbol
_atom_site_fract_x
_atom_site_fract_y
_atom_site_fract_z
_atom_site_occupancy
Mg1 Mg 0.0000 0.0000 0.0000 1
Te1 Te 0.0000 0.0000 0.1128 1
Os1 Os 0.0000 0.0000 0.5000 1
```